Entry 1:
KScTeI2 | meta-GGA SCAN | PBEsol geometry

Output
VASP energy   -26.570 eV per atom
SG   P4/mmm, No. 123
ΔE_f (raw)   90 meV/atom

a = 5.9011 Å, b = 5.9011 Å, c = 6.0483 Å
α = 90.00°, β = 90.00°, γ = 90.00°
Closest atoms and distances in Å follow each position.
Fractional positions:
K (0.0000, 0.0000, 0.0000)  4 I 2.95, 2 Te 3.02
Sc (0.5000, 0.5000, 0.5000)  4 Te 4.17, 8 I 4.23
Te (0.0000, 0.0000, 0.5000)  2 K 3.02
I (0.0000, 0.5000, 0.0000)  2 K 2.95
I (0.5000, 0.0000, 0.0000)  2 K 2.95

---

Entry 2:
K2Se2I | meta-GGA SCAN | PBEsol geometry

Output
VASP energy   -19.761 eV per atom
SG   I4/mmm, No. 139
ΔE_f (raw)   -1050 meV/atom

a = 9.8295 Å, b = 9.8295 Å, c = 9.8295 Å
α = 156.32°, β = 156.32°, γ = 33.74°
Closest atoms and distances in Å follow each position.
Fractional positions:
K (0.1100, 0.1100, 0.0000)  4 Se 3.32, 4 I 3.52
K (0.8900, 0.8900, 0.0000)  4 Se 3.32, 4 I 3.52
Se (0.2500, 0.7500, 0.5000)  4 Se 2.85
Se (0.7500, 0.2500, 0.5000)  4 Se 2.85
I (0.5000, 0.5000, 0.0000)  8 K 3.52

---

Entry 3:
KSe2I | meta-GGA SCAN | PBEsol geometry

Output
VASP energy   -21.412 eV per atom
SG   R-3m, No. 166
ΔE_f (raw)   -105 meV/atom

a = 10.1334 Å, b = 10.1334 Å, c = 10.1334 Å
α = 21.83°, β = 21.83°, γ = 21.83°
Closest atoms and distances in Å follow each position.
Fractional positions:
K (0.0000, 0.0000, 0.0000)  6 Se 3.22
Se (0.4119, 0.4119, 0.4119)  1 I 2.61
Se (0.5881, 0.5881, 0.5881)  1 I 2.61
I (0.5000, 0.5000, 0.5000)  2 Se 2.61

---

Entry 4:
KSiI2 | meta-GGA SCAN | PBEsol geometry

Output
VASP energy   -23.020 eV per atom
SG   Fm-3m, No. 225
ΔE_f (raw)   -63 meV/atom

a = 5.5968 Å, b = 5.5968 Å, c = 5.5968 Å
α = 60.00°, β = 60.00°, γ = 60.00°
Closest atoms and distances in Å follow each position.
Fractional positions:
K (0.0000, 0.0000, 0.0000)  8 I 3.43
Si (0.5000, 0.5000, 0.5000)  8 I 3.43
I (0.2500, 0.2500, 0.2500)  4 K 3.43, 4 Si 3.43
I (0.7500, 0.7500, 0.7500)  4 K 3.43, 4 Si 3.43

---

Entry 5:
KSi3I | meta-GGA SCAN | PBEsol geometry

Output
VASP energy   -13.664 eV per atom
SG   Pm-3m, No. 221
ΔE_f (raw)   1360 meV/atom

a = 5.3845 Å, b = 5.3845 Å, c = 5.3845 Å
α = 90.00°, β = 90.00°, γ = 90.00°
Closest atoms and distances in Å follow each position.
Fractional positions:
K (0.0000, 0.0000, 0.0000)  12 Si 3.81
Si (0.0000, 0.5000, 0.5000)  2 I 2.69
Si (0.5000, 0.0000, 0.5000)  2 I 2.69
Si (0.5000, 0.5000, 0.0000)  2 I 2.69
I (0.5000, 0.5000, 0.5000)  6 Si 2.69

---

Entry 6:
KSiTe2I | meta-GGA SCAN | PBEsol geometry

Output
VASP energy   -26.177 eV per atom
SG   P4/mmm, No. 123
ΔE_f (raw)   -259 meV/atom

a = 5.2837 Å, b = 5.2837 Å, c = 5.9051 Å
α = 90.00°, β = 90.00°, γ = 90.00°
Closest atoms and distances in Å follow each position.
Fractional positions:
K (0.0000, 0.0000, 0.0000)  4 I 3.74, 8 Te 3.96
Si (0.5000, 0.5000, 0.5000)  4 Te 2.64, 2 I 2.95
Te (0.0000, 0.5000, 0.5000)  2 Si 2.64
Te (0.5000, 0.0000, 0.5000)  2 Si 2.64
I (0.5000, 0.5000, 0.0000)  2 Si 2.95

---

Entry 7:
KSnTe2I | meta-GGA SCAN | PBEsol geometry

Output
VASP energy   -31.491 eV per atom
SG   P4/mmm, No. 123
ΔE_f (raw)   -392 meV/atom

a = 5.6734 Å, b = 5.6734 Å, c = 6.1821 Å
α = 90.00°, β = 90.00°, γ = 90.00°
Closest atoms and distances in Å follow each position.
Fractional positions:
K (0.0000, 0.0000, 0.0000)  4 I 4.01, 8 Te 4.20
Sn (0.5000, 0.5000, 0.5000)  4 Te 2.84, 2 I 3.09
Te (0.0000, 0.5000, 0.5000)  2 Sn 2.84
Te (0.5000, 0.0000, 0.5000)  2 Sn 2.84
I (0.5000, 0.5000, 0.0000)  2 Sn 3.09

---

Entry 8:
KSr2I2 | meta-GGA SCAN | PBEsol geometry

Output
VASP energy   -26.108 eV per atom
SG   I4/mmm, No. 139
ΔE_f (raw)   -836 meV/atom

a = 9.4383 Å, b = 9.4383 Å, c = 9.4383 Å
α = 148.73°, β = 148.73°, γ = 44.82°
Closest atoms and distances in Å follow each position.
Fractional positions:
K (0.0000, 0.0000, 0.0000)  8 I 4.07
Sr (0.2500, 0.7500, 0.5000)  4 I 3.54, 4 Sr 3.60
Sr (0.7500, 0.2500, 0.5000)  4 I 3.54, 4 Sr 3.60
I (0.3910, 0.3910, 0.0000)  4 Sr 3.54, 1 I 3.80
I (0.6090, 0.6090, 0.0000)  4 Sr 3.54, 1 I 3.80

---

Entry 9:
KSr2I5 | meta-GGA SCAN | PBEsol geometry

Output
VASP energy   -31.391 eV per atom
SG   P2_1/c, No. 14
ΔE_f (raw)   -1817 meV/atom

a = 9.8727 Å, b = 8.8683 Å, c = 14.1825 Å
α = 90.00°, β = 90.02°, γ = 90.00°
Closest atoms and distances in Å follow each position.
Fractional positions:
K (0.0058, 0.0424, 0.1721)  7 I 3.51-3.74
K (0.0058, 0.4576, 0.6721)  7 I 3.51-3.74
K (0.9942, 0.5424, 0.3279)  7 I 3.51-3.74
K (0.9942, 0.9576, 0.8279)  7 I 3.51-3.74
Sr (0.2490, 0.5752, 0.0061)  7 I 3.22-3.42
Sr (0.2490, 0.9248, 0.5061)  7 I 3.22-3.42
Sr (0.4975, 0.5259, 0.3203)  8 I 3.36-3.50
Sr (0.4975, 0.9741, 0.8203)  8 I 3.36-3.50
Sr (0.5025, 0.0259, 0.1797)  8 I 3.36-3.50
Sr (0.5025, 0.4741, 0.6797)  8 I 3.36-3.50
Sr (0.7510, 0.0752, 0.4939)  7 I 3.22-3.42
Sr (0.7510, 0.4248, 0.9939)  7 I 3.22-3.42
I (0.0404, 0.1724, 0.4094)  2 Sr 3.22-3.31, 2 K 3.51-3.57
I (0.0404, 0.3276, 0.9094)  2 Sr 3.22-3.31, 2 K 3.51-3.57
I (0.2663, 0.6920, 0.7817)  3 Sr 3.35-3.43, 2 K 3.63-3.65
I (0.2663, 0.8080, 0.2817)  3 Sr 3.35-3.43, 2 K 3.63-3.65
I (0.2783, 0.1681, 0.6823)  3 Sr 3.31-3.50
I (0.2783, 0.3319, 0.1823)  3 Sr 3.31-3.50
I (0.2784, 0.5403, 0.5020)  3 Sr 3.37-3.42, 2 K 3.69-3.74
I (0.2784, 0.9597, 0.0020)  3 Sr 3.37-3.42, 2 K 3.69-3.74
I (0.4579, 0.1632, 0.4014)  4 Sr 3.27-3.44
I (0.4579, 0.3368, 0.9014)  4 Sr 3.27-3.44
I (0.5421, 0.6632, 0.0986)  4 Sr 3.27-3.44
I (0.5421, 0.8368, 0.5986)  4 Sr 3.27-3.44
I (0.7216, 0.0403, 0.9980)  3 Sr 3.37-3.42, 2 K 3.69-3.74
I (0.7216, 0.4597, 0.4980)  3 Sr 3.37-3.42, 2 K 3.69-3.74
I (0.7217, 0.6681, 0.8177)  3 Sr 3.31-3.50
I (0.7217, 0.8319, 0.3177)  3 Sr 3.31-3.50
I (0.7337, 0.1920, 0.7183)  3 Sr 3.35-3.43, 2 K 3.63-3.65
I (0.7337, 0.3080, 0.2183)  3 Sr 3.35-3.43, 2 K 3.63-3.65
I (0.9596, 0.6724, 0.0906)  2 Sr 3.22-3.31, 2 K 3.51-3.57
I (0.9596, 0.8276, 0.5906)  2 Sr 3.22-3.31, 2 K 3.51-3.57

---

Entry 10:
KSr2I2 | meta-GGA SCAN | PBEsol geometry

Output
VASP energy   -26.258 eV per atom
SG   I4/mmm, No. 139
ΔE_f (raw)   -985 meV/atom

a = 8.6227 Å, b = 8.6227 Å, c = 8.6227 Å
α = 141.36°, β = 141.36°, γ = 55.80°
Closest atoms and distances in Å follow each position.
Fractional positions:
K (0.0000, 0.0000, 0.0000)  8 Sr 4.51, 8 I 4.76
Sr (0.3675, 0.3675, 0.0000)  4 I 3.37
Sr (0.6325, 0.6325, 0.0000)  4 I 3.37
I (0.2500, 0.7500, 0.5000)  4 Sr 3.37
I (0.7500, 0.2500, 0.5000)  4 Sr 3.37

---

Entry 11:
KSrI3 | meta-GGA SCAN | PBEsol geometry

Output
VASP energy   -29.956 eV per atom
SG   Cmcm, No. 63
ΔE_f (raw)   -1790 meV/atom

a = 7.9537 Å, b = 7.9537 Å, c = 11.8582 Å
α = 90.00°, β = 90.00°, γ = 145.84°
Closest atoms and distances in Å follow each position.
Fractional positions:
K (0.2496, 0.7504, 0.7500)  6 I 3.46-3.62
K (0.7504, 0.2496, 0.2500)  6 I 3.46-3.62
Sr (0.0000, 0.0000, 0.0000)  6 I 3.22-3.26
Sr (0.0000, 0.0000, 0.5000)  6 I 3.22-3.26
I (0.0824, 0.9176, 0.2500)  2 Sr 3.22, 2 K 3.46
I (0.3589, 0.6411, 0.0623)  2 Sr 3.26, 2 K 3.62
I (0.3589, 0.6411, 0.4377)  2 Sr 3.26, 2 K 3.62
I (0.6411, 0.3589, 0.5623)  2 Sr 3.26, 2 K 3.62
I (0.6411, 0.3589, 0.9377)  2 Sr 3.26, 2 K 3.62
I (0.9176, 0.0824, 0.7500)  2 Sr 3.22, 2 K 3.46

---

Entry 12:
KSrTa2I | meta-GGA SCAN | PBEsol geometry

Output
VASP energy   -37.915 eV per atom
SG   P4/mmm, No. 123
ΔE_f (raw)   2188 meV/atom

a = 4.8175 Å, b = 4.8175 Å, c = 6.0813 Å
α = 90.00°, β = 90.00°, γ = 90.00°
Closest atoms and distances in Å follow each position.
Fractional positions:
K (0.0000, 0.0000, 0.0000)  4 Ta 2.41
Sr (0.5000, 0.5000, 0.5000)  4 I 3.41
Ta (0.0000, 0.5000, 0.0000)  2 K 2.41
Ta (0.5000, 0.0000, 0.0000)  2 K 2.41
I (0.0000, 0.0000, 0.5000)  2 K 3.04

---

Entry 13:
KTeI3 | meta-GGA SCAN | PBEsol geometry

Output
VASP energy   -31.800 eV per atom
SG   Pm-3m, No. 221
ΔE_f (raw)   -639 meV/atom

a = 6.0836 Å, b = 6.0836 Å, c = 6.0836 Å
α = 90.00°, β = 90.00°, γ = 90.00°
Closest atoms and distances in Å follow each position.
Fractional positions:
K (0.0000, 0.0000, 0.0000)  12 I 4.30
Te (0.5000, 0.5000, 0.5000)  6 I 3.04
I (0.0000, 0.5000, 0.5000)  2 Te 3.04
I (0.5000, 0.0000, 0.5000)  2 Te 3.04
I (0.5000, 0.5000, 0.0000)  2 Te 3.04

---

Entry 14:
K2Te2I | meta-GGA SCAN | PBEsol geometry

Output
VASP energy   -26.430 eV per atom
SG   I4/mmm, No. 139
ΔE_f (raw)   -850 meV/atom

a = 6.7383 Å, b = 6.7383 Å, c = 6.7383 Å
α = 121.48°, β = 121.48°, γ = 87.46°
Closest atoms and distances in Å follow each position.
Fractional positions:
K (0.2500, 0.7500, 0.5000)  4 Te 3.47
K (0.7500, 0.2500, 0.5000)  4 Te 3.47
Te (0.1389, 0.1389, 0.0000)  1 Te 2.71
Te (0.8611, 0.8611, 0.0000)  1 Te 2.71
I (0.5000, 0.5000, 0.0000)  2 Te 3.52

---

Entry 15:
KTiTeI2 | meta-GGA SCAN | PBEsol geometry

Output
VASP energy   -26.639 eV per atom
SG   P4/mmm, No. 123
ΔE_f (raw)   379 meV/atom

a = 5.9901 Å, b = 5.9901 Å, c = 6.0335 Å
α = 90.00°, β = 90.00°, γ = 90.00°
Closest atoms and distances in Å follow each position.
Fractional positions:
K (0.0000, 0.0000, 0.0000)  4 I 3.00, 2 Te 3.02
Ti (0.5000, 0.5000, 0.5000)  4 Te 4.24, 8 I 4.25
Te (0.0000, 0.0000, 0.5000)  2 K 3.02
I (0.0000, 0.5000, 0.0000)  2 K 3.00
I (0.5000, 0.0000, 0.0000)  2 K 3.00

---

Entry 16:
KTeWI2 | meta-GGA SCAN | PBEsol geometry

Output
VASP energy   -37.805 eV per atom
SG   P4/mmm, No. 123
ΔE_f (raw)   -55 meV/atom

a = 5.7334 Å, b = 5.7334 Å, c = 5.1974 Å
α = 90.00°, β = 90.00°, γ = 90.00°
Closest atoms and distances in Å follow each position.
Fractional positions:
K (0.0000, 0.0000, 0.0000)  8 I 3.87, 4 Te 4.05
Te (0.5000, 0.5000, 0.0000)  2 W 2.60
W (0.5000, 0.5000, 0.5000)  2 Te 2.60, 4 I 2.87
I (0.0000, 0.5000, 0.5000)  2 W 2.87
I (0.5000, 0.0000, 0.5000)  2 W 2.87

---

Entry 17:
KYTe2I | meta-GGA SCAN | PBEsol geometry

Output
VASP energy   -30.653 eV per atom
SG   P4/mmm, No. 123
ΔE_f (raw)   -1170 meV/atom

a = 5.8067 Å, b = 5.8067 Å, c = 6.0789 Å
α = 90.00°, β = 90.00°, γ = 90.00°
Closest atoms and distances in Å follow each position.
Fractional positions:
K (0.0000, 0.0000, 0.0000)  4 I 4.11, 8 Te 4.20
Y (0.5000, 0.5000, 0.5000)  4 Te 2.90, 2 I 3.04
Te (0.0000, 0.5000, 0.5000)  2 Y 2.90
Te (0.5000, 0.0000, 0.5000)  2 Y 2.90
I (0.5000, 0.5000, 0.0000)  2 Y 3.04

---

Entry 18:
KZnTeI2 | meta-GGA SCAN | PBEsol geometry

Output
VASP energy   -27.071 eV per atom
SG   P4/mmm, No. 123
ΔE_f (raw)   -556 meV/atom

a = 5.7523 Å, b = 5.7523 Å, c = 5.2437 Å
α = 90.00°, β = 90.00°, γ = 90.00°
Closest atoms and distances in Å follow each position.
Fractional positions:
K (0.0000, 0.0000, 0.0000)  8 I 3.89, 4 Te 4.07
Zn (0.5000, 0.5000, 0.5000)  2 Te 2.62, 4 I 2.88
Te (0.5000, 0.5000, 0.0000)  2 Zn 2.62
I (0.0000, 0.5000, 0.5000)  2 Zn 2.88
I (0.5000, 0.0000, 0.5000)  2 Zn 2.88

---

Entry 19:
KTi2I2 | meta-GGA SCAN | PBEsol geometry

Output
VASP energy   -22.820 eV per atom
SG   I4/mmm, No. 139
ΔE_f (raw)   -45 meV/atom

a = 5.8078 Å, b = 5.8078 Å, c = 5.8078 Å
α = 125.12°, β = 125.12°, γ = 81.33°
Closest atoms and distances in Å follow each position.
Fractional positions:
K (0.0000, 0.0000, 0.0000)  2 Ti 3.43, 8 I 3.47
Ti (0.3895, 0.3895, 0.0000)  1 Ti 1.95
Ti (0.6105, 0.6105, 0.0000)  1 Ti 1.95
I (0.2500, 0.7500, 0.5000)  4 Ti 2.94
I (0.7500, 0.2500, 0.5000)  4 Ti 2.94

---

Entry 20:
KTl2I | meta-GGA SCAN | PBEsol geometry

Output
VASP energy   -47.609 eV per atom
SG   Fm-3m, No. 225
ΔE_f (raw)   -163 meV/atom

a = 5.8134 Å, b = 5.8134 Å, c = 5.8134 Å
α = 60.00°, β = 60.00°, γ = 60.00°
Closest atoms and distances in Å follow each position.
Fractional positions:
K (0.0000, 0.0000, 0.0000)  8 Tl 3.56
Tl (0.2500, 0.2500, 0.2500)  4 K 3.56, 4 I 3.56
Tl (0.7500, 0.7500, 0.7500)  4 I 3.56, 4 K 3.56
I (0.5000, 0.5000, 0.5000)  8 Tl 3.56